[1]
Si2PIr, optimized geometry, DFT PBE; raw total energy = -6.35 eV/atom; excess energy over the best structure of this formula in the dataset = 187 meV/atom; formation energy (no corrections) = -0.3 eV/f.u.
1.0
6.8395 -0.0150 -0.0090
6.1061 3.0811 -0.0090
6.1061 1.4462 2.7206
Ir P Si
1 1 2
Cartesian
4.7629 1.1281 0.6757
14.2888 3.3842 2.0270
0.0752 0.0178 0.0107
9.4507 2.2383 1.3407



[2]
Li2AcSi, optimized geometry, DFT PBE; raw total energy = -3.58 eV/atom; formation energy (no corrections) = -1.0 eV/f.u.
1.0
-2.5972 -0.6686 -3.5341
1.7740 -0.1266 -4.0644
0.4061 -5.3097 -2.0786
Ac Si Li
1 1 2
Cartesian
0.0000 0.0000 0.0000
-0.2086 -3.0525 -4.8385
-0.4113 -3.8488 -7.3235
-0.0058 -2.2561 -2.3535



[3]
CuBTeOs2, optimized geometry, DFT PBE; raw total energy = -6.26 eV/atom; formation energy (no corrections) = 5.1 eV/f.u.
1.0
4.1028 0.0000 0.0000
0.0000 4.7076 0.0000
0.0000 0.0000 4.1028
B Te Os Cu
1 1 2 1
Cartesian
0.0000 0.0000 0.0000
0.0000 2.3538 0.0000
0.0000 0.0000 2.0514
2.0514 0.0000 0.0000
2.0514 2.3538 2.0514